No. 1
VASP calculation (SCAN) on a PBEsol-optimized structure of La3In.

Calculated values
The calculation puts the spin magnetization at 0.06 μB/f.u. As for the energy above the most stable polymorph in this dataset: 1.51 kcal/mol of atoms.

The structure in POSCAR format:
```
La3In
1.0
3.619 0.000 0.000
0.000 4.681 0.000
0.000 0.000 7.218
La In
3 1
direct
0.500 0.500 0.774 La
0.500 0.500 0.226 La
0.000 0.000 0.500 La
0.000 0.000 0.000 In
```

No. 2
VASP calculation (SCAN) on a PBEsol-optimized structure of Ca2ZnNi.

Calculated values
The calculation puts the spin magnetization at 0.00 μB/f.u. The value obtained for the electronic total energy is -12.290 eV/atom.

The structure in POSCAR format:
```
Ca2ZnNi
1.0
3.528 0.000 0.000
0.000 4.889 0.000
0.000 0.000 4.890
Ca Ni Zn
2 1 1
direct
0.000 0.000 0.000 Ca
0.000 0.500 0.500 Ca
0.500 0.500 0.000 Ni
0.500 0.000 0.500 Zn
```

No. 3
VASP calculation (SCAN) on a PBEsol-optimized structure of CaCu2AgRu.

Calculated values
The calculation puts the spin magnetization at 1.90 μB/f.u. The value obtained for the electronic total energy is -20.025 eV/atom.

The structure in POSCAR format:
```
CaCu2AgRu
1.0
-0.721 -4.174 -1.791
4.115 0.168 -2.047
2.115 -2.115 4.077
Ca Ru Cu Ag
1 1 2 1
direct
0.000 0.000 0.500 Ca
0.500 0.500 0.500 Ru
0.000 0.500 0.000 Cu
0.500 0.000 0.000 Cu
0.000 0.000 0.000 Ag
```

No. 4
VASP calculation (SCAN) on a PBEsol-optimized structure of HfBeSb2Ir.

Calculated values
The value obtained for the energy relative to the elements, uncorrected is 1.3171 eV/atom. The calculation puts the spin magnetization at 0.00 μB/f.u.

The structure in POSCAR format:
```
HfBeSb2Ir
1.0
4.807 0.000 0.000
0.000 5.360 0.000
0.000 0.000 5.360
Sb Be Hf Ir
2 1 1 1
direct
0.000 0.500 0.000 Sb
0.000 0.000 0.500 Sb
0.500 0.500 0.500 Be
0.000 0.000 0.000 Hf
0.500 0.000 0.000 Ir
```

No. 5
VASP calculation (SCAN) on a PBEsol-optimized structure of NiRu2Rh.

Calculated values
The calculation puts the spin magnetization at 0.01 μB/f.u. As for the energy above the most stable polymorph in this dataset: 0.00 kcal/mol of atoms.

The structure in POSCAR format:
```
NiRu2Rh
1.0
-1.485 -1.660 -1.431
2.604 -0.098 -2.588
2.234 -4.071 2.403
Ru Rh Ni
2 1 1
direct
0.500 0.000 0.007 Ru
0.000 0.500 0.253 Ru
0.000 0.500 0.741 Rh
0.500 0.000 0.498 Ni
```

No. 6
VASP calculation (SCAN) on a PBEsol-optimized structure of Zr2TaW.

Calculated values
The calculation puts the spin magnetization at 0.00 μB/f.u. As for the energy above the most stable polymorph in this dataset: 3.90 kcal/mol of atoms.

The structure in POSCAR format:
```
Zr2TaW
1.0
2.784 0.000 0.000
0.000 4.781 0.000
0.000 0.000 5.673
W Zr Ta
1 2 1
direct
0.500 0.500 0.740 W
0.000 0.000 0.997 Zr
0.500 0.500 0.251 Zr
0.000 0.000 0.513 Ta
```

No. 7
VASP calculation (SCAN) on a PBEsol-optimized structure of TaIrPt2.

Calculated values
The calculation puts the spin magnetization at 0.00 μB/f.u. As for the energy above the most stable polymorph in this dataset: 3.17 kcal/mol of atoms.

The structure in POSCAR format:
```
TaIrPt2
1.0
-2.615 -0.430 -0.866
-0.333 -2.988 2.490
-1.878 3.490 3.938
Pt Ir Ta
2 1 1
direct
0.000 0.500 0.249 Pt
0.500 0.000 0.998 Pt
0.000 0.500 0.748 Ir
0.500 0.000 0.506 Ta
```

No. 8
VASP calculation (SCAN) on a PBEsol-optimized structure of SmMoI4O15.

Calculated values
The value obtained for the energy relative to the elements, uncorrected is -1.0787 eV/atom. The calculation puts the spin magnetization at 0.95 μB/f.u.

The structure in POSCAR format:
```
SmMoI4O15
1.0
-0.764 -1.258 6.569
-5.636 -1.428 -3.921
4.651 -13.002 -1.949
O I Sm Mo
30 8 2 2
direct
0.748 0.650 0.775 O
0.413 0.475 0.471 O
0.749 0.795 0.122 O
0.439 0.993 0.711 O
0.240 0.186 0.829 O
0.017 0.870 0.957 O
0.231 0.961 0.325 O
0.601 0.389 0.157 O
0.252 0.350 0.275 O
0.475 0.088 0.965 O
0.983 0.130 0.457 O
0.251 0.205 0.622 O
0.940 0.413 0.913 O
0.397 0.702 0.849 O
0.603 0.298 0.349 O
0.060 0.587 0.413 O
0.714 0.349 0.542 O
0.399 0.611 0.657 O
0.769 0.039 0.825 O
0.959 0.392 0.717 O
0.561 0.007 0.211 O
0.286 0.651 0.042 O
0.760 0.814 0.329 O
0.041 0.608 0.217 O
0.805 0.942 0.641 O
0.096 0.778 0.587 O
0.195 0.058 0.141 O
0.587 0.525 0.971 O
0.904 0.222 0.087 O
0.525 0.912 0.465 O
0.228 0.137 0.959 I
0.153 0.960 0.688 I
0.471 0.239 0.469 I
0.847 0.040 0.188 I
0.240 0.699 0.312 I
0.772 0.863 0.459 I
0.760 0.301 0.812 I
0.529 0.761 0.969 I
0.915 0.568 0.060 Sm
0.085 0.432 0.560 Sm
0.402 0.217 0.230 Mo
0.598 0.783 0.730 Mo
```